CeAlNi17 | GGA-PBE | optimized geometry

Cell lengths 6.1968, 6.1968, 6.1968 Å; angles 82.54, 82.54, 82.54 degrees
Closest atoms and distances in Å follow each position.
Positions (direct):
1 Ni 0.5101 0.9924 0.9924  10 Ni 2.36-2.55
2 Ni 0.9924 0.5101 0.9924  10 Ni 2.36-2.55
3 Al 0.3279 0.3279 0.3279  13 Ni 2.69-2.92
4 Ni 0.1043 0.1043 0.1043  7 Ni 2.40-2.55
5 Ni 0.3425 0.8649 0.3425  9 Ni 2.36-2.51
6 Ni 0.2975 0.6997 0.0036  8 Ni 2.36-2.55
7 Ni 0.6417 0.6417 0.1728  8 Ni 2.38-2.55
8 Ni 0.0036 0.6997 0.2975  8 Ni 2.36-2.55
9 Ni 0.6417 0.1728 0.6417  8 Ni 2.38-2.55
10 Ni 0.9048 0.9048 0.9048  4 Ni 2.40-2.44
11 Ni 0.9924 0.9924 0.5101  10 Ni 2.36-2.55
12 Ni 0.3425 0.3425 0.8649  9 Ni 2.36-2.51
13 Ni 0.0036 0.2975 0.6997  8 Ni 2.36-2.55
14 Ni 0.8649 0.3425 0.3425  9 Ni 2.36-2.51
15 Ni 0.6997 0.2975 0.0036  8 Ni 2.36-2.55
16 Ni 0.2975 0.0036 0.6997  8 Ni 2.36-2.55
17 Ni 0.6997 0.0036 0.2975  8 Ni 2.36-2.55
18 Ce 0.6604 0.6604 0.6604  19 Ni 2.90-3.15
19 Ni 0.1728 0.6417 0.6417  8 Ni 2.38-2.55

Properties
- Energy relative to the elements: -1.46 eV/f.u.
- SG: R3m, No. 160